Entry from the Alexandria database: a relaxed RbZrNi2 crystal (GGA-PBE).

For the energy above the most stable polymorph in this dataset, the calculation gives 0.00 kcal/mol of atoms. The calculated total energy is -71.42 eV for the cell shown. For the formation energy, the calculation gives 806 meV per atom. The calculation puts the total magnetization at 0.00 μB/cell.

CIF file:
```
data_RbZrNi2
_symmetry_space_group_name_H-M 'I -4 2 d'
_symmetry_Int_Tables_number 122
_symmetry_space_group_name_Hall 'I -4 2bw'
_cell_length_a 7.494
_cell_length_b 7.494
_cell_length_c 7.062
_cell_angle_alpha 90.00
_cell_angle_beta 90.00
_cell_angle_gamma 90.00
loop_
_atom_site_label
_atom_site_fract_x
_atom_site_fract_y
_atom_site_fract_z
_atom_site_occupancy
Rb1 0.000 0.000 0.000 1
Zr1 0.000 0.000 0.500 1
Ni1 0.184 0.250 0.625 1
```

Entry from the Alexandria database: a relaxed TcP2Se crystal (GGA-PBE).

The calculated total energy is -44.80 eV for the cell shown. The calculation puts the total magnetization at 0.00 μB/cell.

CIF file:
```
data_TcP2Se
_symmetry_space_group_name_H-M 'C m m m'
_symmetry_Int_Tables_number 65
_symmetry_space_group_name_Hall '-C 2 2'
_cell_length_a 5.406
_cell_length_b 7.182
_cell_length_c 3.105
_cell_angle_alpha 90.00
_cell_angle_beta 90.00
_cell_angle_gamma 90.00
loop_
_atom_site_label
_atom_site_fract_x
_atom_site_fract_y
_atom_site_fract_z
_atom_site_occupancy
Tc1 0.000 0.000 0.000 1
P1 0.250 0.250 0.500 1
Se1 0.000 0.500 0.000 1
```

Entry from the Alexandria database: a relaxed CaFe2Ni2 crystal (GGA-PBE).

For the energy above the most stable polymorph in this dataset, the calculation gives 2.25 kcal/mol of atoms. The calculated total energy is -59.20 eV for the cell shown. For the formation energy, the calculation gives 178 meV per atom. The calculation puts the total magnetization at 13.30 μB/cell.

CIF file:
```
data_CaFe2Ni2
_symmetry_space_group_name_H-M 'P 4/m b m'
_symmetry_Int_Tables_number 127
_symmetry_space_group_name_Hall '-P 4 2ab'
_cell_length_a 7.291
_cell_length_b 7.291
_cell_length_c 2.675
_cell_angle_alpha 90.00
_cell_angle_beta 90.00
_cell_angle_gamma 90.00
loop_
_atom_site_label
_atom_site_fract_x
_atom_site_fract_y
_atom_site_fract_z
_atom_site_occupancy
Ca1 0.000 0.000 0.000 1
Fe1 0.157 0.343 0.500 1
Ni1 0.131 0.631 0.000 1
```

Entry from the Alexandria database: a relaxed CaAuSe2 crystal (GGA-PBE).

For the energy above the most stable polymorph in this dataset, the calculation gives 0.00 kcal/mol of atoms. The calculated total energy is -15.87 eV for the cell shown. The calculation puts the total magnetization at 0.00 μB/cell.

CIF file:
```
data_CaAuSe2
_symmetry_space_group_name_H-M 'P 4/m m m'
_symmetry_Int_Tables_number 123
_symmetry_space_group_name_Hall '-P 4 2'
_cell_length_a 4.045
_cell_length_b 4.045
_cell_length_c 5.764
_cell_angle_alpha 90.00
_cell_angle_beta 90.00
_cell_angle_gamma 90.00
loop_
_atom_site_label
_atom_site_fract_x
_atom_site_fract_y
_atom_site_fract_z
_atom_site_occupancy
Ca1 0.000 0.000 0.000 1
Au1 0.500 0.500 0.500 1
Se1 0.000 0.000 0.500 1
Se2 0.500 0.500 0.000 1
```

Entry from the Alexandria database: a relaxed Sc3TlO crystal (GGA-PBE).

The calculated total energy is -132.14 eV for the cell shown. The calculation puts the total magnetization at 0.00 μB/cell.

CIF file:
```
data_Sc3TlO
_symmetry_space_group_name_H-M 'I m m a'
_symmetry_Int_Tables_number 74
_symmetry_space_group_name_Hall '-I 2b 2'
_cell_length_a 4.419
_cell_length_b 4.430
_cell_length_c 18.819
_cell_angle_alpha 90.00
_cell_angle_beta 90.00
_cell_angle_gamma 90.00
loop_
_atom_site_label
_atom_site_fract_x
_atom_site_fract_y
_atom_site_fract_z
_atom_site_occupancy
Sc1 0.000 0.250 0.054 1
Sc2 0.000 0.250 0.569 1
Sc3 0.000 0.250 0.812 1
Tl1 0.000 0.250 0.320 1
O1 0.000 0.250 0.934 1
```

Entry from the Alexandria database: a relaxed PmAl6Pt2 crystal (GGA-PBE).

The calculated total energy is -44.89 eV for the cell shown. For the formation energy, the calculation gives -622 meV per atom. The calculation puts the total magnetization at 0.00 μB/cell.

CIF file:
```
data_PmAl6Pt2
_symmetry_space_group_name_H-M 'P 4/m m m'
_symmetry_Int_Tables_number 123
_symmetry_space_group_name_Hall '-P 4 2'
_cell_length_a 4.575
_cell_length_b 4.575
_cell_length_c 7.847
_cell_angle_alpha 90.00
_cell_angle_beta 90.00
_cell_angle_gamma 90.00
loop_
_atom_site_label
_atom_site_fract_x
_atom_site_fract_y
_atom_site_fract_z
_atom_site_occupancy
Pm1 0.000 0.000 0.000 1
Al1 0.000 0.000 0.500 1
Al2 0.000 0.500 0.300 1
Al3 0.500 0.500 0.500 1
Pt1 0.500 0.500 0.173 1
```

Entry from the Alexandria database: a relaxed Bi2CF crystal (GGA-PBE).

For the energy above the most stable polymorph in this dataset, the calculation gives 5.79 kcal/mol of atoms. The calculated total energy is -68.61 eV for the cell shown. The calculation puts the total magnetization at 0.00 μB/cell.

CIF file:
```
data_Bi2CF
_symmetry_space_group_name_H-M 'F m -3 m'
_symmetry_Int_Tables_number 225
_symmetry_space_group_name_Hall '-F 4 2 3'
_cell_length_a 6.581
_cell_length_b 6.581
_cell_length_c 6.581
_cell_angle_alpha 90.00
_cell_angle_beta 90.00
_cell_angle_gamma 90.00
loop_
_atom_site_label
_atom_site_fract_x
_atom_site_fract_y
_atom_site_fract_z
_atom_site_occupancy
Bi1 0.250 0.250 0.250 1
C1 0.000 0.000 0.000 1
F1 0.000 0.000 0.500 1
```

Entry from the Alexandria database: a relaxed KRbLiP crystal (GGA-PBE).

The calculated total energy is -31.68 eV for the cell shown. For the formation energy, the calculation gives -293 meV per atom. The calculation puts the total magnetization at 0.00 μB/cell.

CIF file:
```
data_KRbLiP
_symmetry_space_group_name_H-M 'R 3 m'
_symmetry_Int_Tables_number 160
_symmetry_space_group_name_Hall 'R 3 -2"'
_cell_length_a 4.6921
_cell_length_b 4.6921
_cell_length_c 22.9843
_cell_angle_alpha 90.00
_cell_angle_beta 90.00
_cell_angle_gamma 120.00
loop_
_atom_site_label
_atom_site_fract_x
_atom_site_fract_y
_atom_site_fract_z
_atom_site_occupancy
K1 0.0000 0.0000 0.0000 1
Rb1 0.0000 0.0000 0.8320 1
Li1 0.0000 0.0000 0.2554 1
P1 0.0000 0.0000 0.5887 1
```

Among the records above, which one has the highest calculated total energy? CaAuSe2